Compound: NpZn2AgO8
Source: Alexandria
Functional: GGA-PBE
Structure: relaxed

```
NpZn2AgO8
1.0
4.838 -0.174 -0.168
-0.153 4.828 0.158
-0.197 0.213 6.547
O Np Zn Ag
8 1 2 1
Direct
0.306 0.303 0.000
0.210 0.788 0.198
0.817 0.186 0.245
0.690 0.693 0.500
0.790 0.212 0.802
0.694 0.697 0.000
0.310 0.307 0.500
0.183 0.814 0.755
0.000 0.000 0.000
0.479 0.521 0.744
0.521 0.479 0.256
0.000 0.000 0.500
```

- raw formation energy (meV/atom) = -1178.7

Compound: NpZnAg2O6
Source: Alexandria
Functional: GGA-PBE
Structure: relaxed

```
NpZnAg2O6
1.0
5.506 0.000 -0.348
0.000 5.829 0.000
-2.563 -2.915 4.247
O Zn Ag Np
6 1 2 1
Direct
0.186 0.690 0.871
0.649 0.276 0.553
0.814 0.310 0.129
0.814 0.819 0.129
0.351 0.724 0.447
0.186 0.181 0.871
0.500 0.000 0.000
0.801 0.755 0.509
0.199 0.245 0.491
0.000 0.500 0.000
```

- raw formation energy (meV/atom) = -1338.5

Compound: Zr2NpAgO8
Source: Alexandria
Functional: GGA-PBE
Structure: relaxed

```
Zr2NpAgO8
1.0
-0.715 -3.934 3.042
-2.235 -2.444 -3.770
5.884 -2.509 -1.863
Np Zr O Ag
1 2 8 1
Direct
0.000 0.000 0.000
0.500 0.500 0.742
0.500 0.500 0.258
0.304 0.301 0.000
0.682 0.684 0.500
0.798 0.205 0.789
0.696 0.699 0.000
0.202 0.795 0.211
0.798 0.205 0.211
0.202 0.795 0.789
0.318 0.316 0.500
0.000 0.000 0.500
```

- raw formation energy (meV/atom) = -2523.5

Compound: NpAgP
Source: Alexandria
Functional: GGA-PBE
Structure: relaxed

```
NpAgP
1.0
4.688 0.000 0.000
2.344 4.060 0.000
2.344 1.353 7.223
Ag P Np
2 2 2
Direct
0.163 0.163 0.512
0.837 0.837 0.488
0.717 0.717 0.849
0.283 0.283 0.151
0.406 0.406 0.781
0.594 0.594 0.219
```

Compound: NpAgP2
Source: Alexandria
Functional: GGA-PBE
Structure: relaxed

```
NpAgP2
1.0
-0.812 -1.927 3.541
1.662 -3.683 0.765
4.458 0.479 3.671
Np Ag P
1 1 2
Direct
0.500 0.500 0.500
0.000 0.000 0.000
0.753 0.753 0.742
0.247 0.247 0.258
```

Compound: NpAgP2
Source: Alexandria
Functional: GGA-PBE
Structure: relaxed

```
NpAgP2
1.0
-0.099 2.350 -2.647
-3.749 -1.874 -1.523
-2.412 2.760 2.541
Ag Np P
1 1 2
Direct
0.500 0.000 0.000
0.500 0.500 0.500
0.000 0.000 0.500
0.000 0.500 0.000
```

Ordered electronic total energy results: -6.013, -6.305, -8.570, -7.169, -6.920, -6.969; unit eV per atom.